Compound: VSn2PdI
Source: the Alexandria database
Functional: PBE
Structure: relaxed

Lattice parameters (Å, degrees): 5.1185 5.1185 5.2959 90.00 90.00 90.00
Closest atoms and distances in Å follow each position.
Fractional positions:
V: 0.0000 0.0000 0.0000  2 Pd 2.65
Sn: 0.0000 0.5000 0.5000  2 Pd 2.56
Sn: 0.5000 0.0000 0.5000  2 Pd 2.56
Pd: 0.0000 0.0000 0.5000  4 Sn 2.56, 2 V 2.65
I: 0.5000 0.5000 0.0000  4 V 3.62, 8 Sn 3.68

Energy relative to the elements, uncorrected: 0.59 eV per atom
E_tot: -4.187 eV/atom
Theoretical density: 6.24 g/cm³

Compound: V2SnPdI
Source: the Alexandria database
Functional: PBE
Structure: relaxed

Lattice parameters (Å, degrees): 4.9867 4.9867 4.9830 90.00 90.00 90.00
Closest atoms and distances in Å follow each position.
Fractional positions:
V: 0.0000 0.5000 0.0000  2 I 2.49
V: 0.5000 0.0000 0.0000  2 I 2.49
Sn: 0.0000 0.0000 0.5000  8 V 3.52, 4 Pd 3.53
Pd: 0.5000 0.5000 0.5000  2 I 2.49
I: 0.5000 0.5000 0.0000  2 Pd 2.49, 4 V 2.49

Energy relative to the elements, uncorrected: 1.05 eV per atom
E_tot: -4.747 eV/atom
Theoretical density: 6.08 g/cm³

Compound: Sn2PdWI
Source: the Alexandria database
Functional: PBE
Structure: relaxed

Lattice parameters (Å, degrees): 5.4260 5.4260 4.8859 90.00 90.00 90.00
Closest atoms and distances in Å follow each position.
Fractional positions:
Sn: 0.0000 0.5000 0.0000  2 W 2.71
Sn: 0.5000 0.0000 0.0000  2 W 2.71
Pd: 0.0000 0.0000 0.5000  2 W 2.44
W: 0.0000 0.0000 0.0000  2 Pd 2.44, 4 Sn 2.71
I: 0.5000 0.5000 0.5000  8 Sn 3.65, 4 Pd 3.84

Energy relative to the elements, uncorrected: 0.73 eV per atom
E_tot: -4.814 eV/atom
Theoretical density: 7.56 g/cm³

Compound: SrPd3I
Source: the Alexandria database
Functional: PBE
Structure: relaxed

Lattice parameters (Å, degrees): 5.2772 5.2772 5.2772 90.00 90.00 90.00
Closest atoms and distances in Å follow each position.
Fractional positions:
Sr: 0.0000 0.0000 0.0000  6 Pd 2.64
Pd: 0.0000 0.0000 0.5000  2 Sr 2.64
Pd: 0.0000 0.5000 0.0000  2 Sr 2.64
Pd: 0.5000 0.0000 0.0000  2 Sr 2.64
I: 0.5000 0.5000 0.5000  12 Pd 3.73

Energy relative to the elements, uncorrected: 0.74 eV per atom
E_tot: -3.027 eV/atom
Theoretical density: 6.03 g/cm³
Relative energy among the computed polymorphs: 0.7784 eV per atom

Compound: Sr4Pd2I
Source: the Alexandria database
Functional: PBE
Structure: relaxed

Lattice parameters (Å, degrees): 15.5374 15.5374 15.5374 16.44 16.44 16.44
Closest atoms and distances in Å follow each position.
Fractional positions:
Sr: 0.1267 0.1267 0.1267  3 Pd 3.06
Sr: 0.2791 0.2791 0.2791  3 Pd 3.06
Sr: 0.7209 0.7209 0.7209  3 Pd 3.06
Sr: 0.8733 0.8733 0.8733  3 Pd 3.06
Pd: 0.4238 0.4238 0.4238  6 Sr 3.06
Pd: 0.5762 0.5762 0.5762  6 Sr 3.06
I: 0.0000 0.0000 0.0000  6 Sr 3.58

Energy relative to the elements, uncorrected: -0.74 eV per atom
E_tot: -3.406 eV/atom
Theoretical density: 4.37 g/cm³

Compound: SrPdI
Source: the Alexandria database
Functional: PBE
Structure: relaxed

Lattice parameters (Å, degrees): 11.7862 4.3453 4.3453 60.28 90.00 90.00
Closest atoms and distances in Å follow each position.
Fractional positions:
Sr: 0.1641 0.0000 0.0000  3 Pd 3.17-3.18, 3 I 3.28-3.30
Sr: 0.8359 0.0000 0.0000  3 Pd 3.17-3.18, 3 I 3.28-3.30
Pd: 0.0000 0.3353 0.3353  6 Sr 3.17-3.18
Pd: 0.5000 0.0464 0.0464  2 I 2.82
I: 0.3446 0.3322 0.3322  1 Pd 2.82
I: 0.6554 0.3322 0.3322  1 Pd 2.82

Energy relative to the elements, uncorrected: -0.58 eV per atom
E_tot: -3.389 eV/atom
Theoretical density: 5.52 g/cm³

Compound: SrPd3I
Source: the Alexandria database
Functional: PBE
Structure: relaxed

Lattice parameters (Å, degrees): 5.0901 5.0901 5.0901 90.00 90.00 90.00
Closest atoms and distances in Å follow each position.
Fractional positions:
Sr: 0.0000 0.0000 0.0000  12 Pd 3.60
Pd: 0.0000 0.5000 0.5000  2 I 2.55
Pd: 0.5000 0.0000 0.5000  2 I 2.55
Pd: 0.5000 0.5000 0.0000  2 I 2.55
I: 0.5000 0.5000 0.5000  6 Pd 2.55

Energy relative to the elements, uncorrected: -0.04 eV per atom
E_tot: -3.805 eV/atom
Theoretical density: 6.72 g/cm³
Relative energy among the computed polymorphs: 0.0000 eV per atom

Compound: SrPdI4
Source: the Alexandria database
Functional: PBE
Structure: relaxed

Lattice parameters (Å, degrees): 7.5949 7.5949 10.4618 92.99 92.99 62.91
Closest atoms and distances in Å follow each position.
Fractional positions:
Sr: 0.0000 0.5000 0.0000  6 I 3.30-3.40
Sr: 0.5000 0.0000 0.5000  6 I 3.30-3.40
Pd: 0.0663 0.9337 0.2500  4 I 2.66-2.78
Pd: 0.9337 0.0663 0.7500  4 I 2.66-2.78
I: 0.1800 0.2176 0.2622  1 Pd 2.66
I: 0.2176 0.1800 0.7622  1 Pd 2.66
I: 0.3209 0.6751 0.0692  1 Pd 2.78
I: 0.3249 0.6791 0.4308  1 Pd 2.78
I: 0.6751 0.3209 0.5692  1 Pd 2.78
I: 0.6791 0.3249 0.9308  1 Pd 2.78
I: 0.7824 0.8200 0.2378  1 Pd 2.66
I: 0.8200 0.7824 0.7378  1 Pd 2.66

Energy relative to the elements, uncorrected: -0.78 eV per atom
E_tot: -2.957 eV/atom
Theoretical density: 4.35 g/cm³

Please write out number 4 again, unchanged.
Compound: SrPd3I
Source: the Alexandria database
Functional: PBE
Structure: relaxed

Lattice parameters (Å, degrees): 5.2772 5.2772 5.2772 90.00 90.00 90.00
Closest atoms and distances in Å follow each position.
Fractional positions:
Sr: 0.0000 0.0000 0.0000  6 Pd 2.64
Pd: 0.0000 0.0000 0.5000  2 Sr 2.64
Pd: 0.0000 0.5000 0.0000  2 Sr 2.64
Pd: 0.5000 0.0000 0.0000  2 Sr 2.64
I: 0.5000 0.5000 0.5000  12 Pd 3.73

Energy relative to the elements, uncorrected: 0.74 eV per atom
E_tot: -3.027 eV/atom
Theoretical density: 6.03 g/cm³
Relative energy among the computed polymorphs: 0.7784 eV per atom